No. 1
Computed, not measured: a relaxed structure of Ag14HgAu at the PBE-GGA level of DFT.

* total magnetic moment: 0.000 μB per atom
* space group: Amm2 (38)
* volume: 291.23 Å³/f.u.
* ΔH_f (0 K): 17 meV per atom

a = 9.5472 Å, b = 5.9338 Å, c = 5.9338 Å
α = 60.04°, β = 90.00°, γ = 90.00°
With the nearest neighbours (Å) after each atom.
Atoms (fractional coordinates):
1 Ag 0.0000 0.9997 0.9997  12 Ag 2.91-2.97
2 Ag 0.0000 0.5000 0.5000  12 Ag 2.92-2.97
3 Ag 0.0000 0.5003 0.9994  12 Ag 2.92-2.97
4 Ag 0.0000 0.9994 0.5003  12 Ag 2.92-2.97
5 Ag 0.2465 0.1655 0.1655  11 Ag 2.91-2.99, 1 Hg 2.97
6 Ag 0.2477 0.1658 0.6689  10 Ag 2.91-2.99, 1 Au 2.95, 1 Hg 2.96
7 Ag 0.2477 0.6689 0.1658  10 Ag 2.91-2.99, 1 Au 2.95, 1 Hg 2.96
8 Ag 0.2494 0.6665 0.6665  11 Ag 2.93-2.97, 1 Au 2.95
9 Ag 0.5000 0.3326 0.8340  8 Ag 2.94-2.98, 2 Au 2.96-2.97, 2 Hg 2.96-2.97
10 Ag 0.5000 0.8340 0.3326  8 Ag 2.94-2.98, 2 Au 2.96-2.97, 2 Hg 2.96-2.97
11 Ag 0.7506 0.6665 0.6665  11 Ag 2.93-2.97, 1 Au 2.95
12 Ag 0.7523 0.1658 0.6689  10 Ag 2.91-2.99, 1 Au 2.95, 1 Hg 2.96
13 Ag 0.7523 0.6689 0.1658  10 Ag 2.91-2.99, 1 Au 2.95, 1 Hg 2.96
14 Ag 0.7535 0.1655 0.1655  11 Ag 2.91-2.99, 1 Hg 2.97
15 Hg 0.5000 0.3330 0.3330  10 Ag 2.96-2.97, 2 Au 2.97
16 Au 0.5000 0.8337 0.8337  10 Ag 2.95-2.97, 2 Hg 2.97

---

No. 2
Computed, not measured: a relaxed structure of RhO2F5 at the PBE-GGA level of DFT.

* raw formation energy: -0.9674 eV per atom
* total magnetic moment: 0.459 μB per atom
* space group: P-1 (2)
* volume: 134.10 Å³/f.u.

a = 4.0024 Å, b = 6.1694 Å, c = 6.2094 Å
α = 95.19°, β = 108.76°, γ = 108.87°
With the nearest neighbours (Å) after each atom.
Atoms (fractional coordinates):
1 Rh 0.0000 0.0000 0.0000  6 F 1.89-2.00
2 O 0.1510 0.5019 0.4995  1 O 1.20
3 O 0.8490 0.4981 0.5005  1 O 1.20
4 F 0.1801 0.0339 0.3269  1 Rh 1.89
5 F 0.1845 0.3298 0.0398  1 Rh 1.89
6 F 0.5000 0.0000 0.0000  2 Rh 2.00
7 F 0.8155 0.6702 0.9602  1 Rh 1.89
8 F 0.8199 0.9661 0.6731  1 Rh 1.89

---

No. 3
Computed, not measured: a relaxed structure of CaNiHg2 at the PBE-GGA level of DFT.

* total magnetic moment: 0.000 μB per atom
* space group: I-42d (122)
* volume: 101.59 Å³/f.u.
* ΔH_f (0 K): 50 meV per atom

a = 9.8947 Å, b = 9.8947 Å, c = 9.8947 Å
α = 152.72°, β = 152.72°, γ = 38.96°
With the nearest neighbours (Å) after each atom.
Atoms (fractional coordinates):
1 Ca 0.0000 0.0000 0.0000  4 Hg 3.02, 4 Ni 3.30
2 Ca 0.7500 0.2500 0.5000  4 Hg 3.02, 4 Ni 3.30
3 Ni 0.2500 0.7500 0.5000  4 Hg 2.73
4 Ni 0.5000 0.5000 0.0000  4 Hg 2.73
5 Hg 0.2002 0.6250 0.0752  2 Ni 2.73, 2 Hg 2.85, 2 Ca 3.02
6 Hg 0.3750 0.4502 0.5752  2 Ni 2.73, 2 Hg 2.85, 2 Ca 3.02
7 Hg 0.5498 0.1250 0.9248  2 Ni 2.73, 2 Hg 2.85, 2 Ca 3.02
8 Hg 0.8750 0.7998 0.4248  2 Ni 2.73, 2 Hg 2.85, 2 Ca 3.02

---

Repeat the first record exactly.
Computed, not measured: a relaxed structure of Ag14HgAu at the PBE-GGA level of DFT.

* total magnetic moment: 0.000 μB per atom
* space group: Amm2 (38)
* volume: 291.23 Å³/f.u.
* ΔH_f (0 K): 17 meV per atom

a = 9.5472 Å, b = 5.9338 Å, c = 5.9338 Å
α = 60.04°, β = 90.00°, γ = 90.00°
With the nearest neighbours (Å) after each atom.
Atoms (fractional coordinates):
1 Ag 0.0000 0.9997 0.9997  12 Ag 2.91-2.97
2 Ag 0.0000 0.5000 0.5000  12 Ag 2.92-2.97
3 Ag 0.0000 0.5003 0.9994  12 Ag 2.92-2.97
4 Ag 0.0000 0.9994 0.5003  12 Ag 2.92-2.97
5 Ag 0.2465 0.1655 0.1655  11 Ag 2.91-2.99, 1 Hg 2.97
6 Ag 0.2477 0.1658 0.6689  10 Ag 2.91-2.99, 1 Au 2.95, 1 Hg 2.96
7 Ag 0.2477 0.6689 0.1658  10 Ag 2.91-2.99, 1 Au 2.95, 1 Hg 2.96
8 Ag 0.2494 0.6665 0.6665  11 Ag 2.93-2.97, 1 Au 2.95
9 Ag 0.5000 0.3326 0.8340  8 Ag 2.94-2.98, 2 Au 2.96-2.97, 2 Hg 2.96-2.97
10 Ag 0.5000 0.8340 0.3326  8 Ag 2.94-2.98, 2 Au 2.96-2.97, 2 Hg 2.96-2.97
11 Ag 0.7506 0.6665 0.6665  11 Ag 2.93-2.97, 1 Au 2.95
12 Ag 0.7523 0.1658 0.6689  10 Ag 2.91-2.99, 1 Au 2.95, 1 Hg 2.96
13 Ag 0.7523 0.6689 0.1658  10 Ag 2.91-2.99, 1 Au 2.95, 1 Hg 2.96
14 Ag 0.7535 0.1655 0.1655  11 Ag 2.91-2.99, 1 Hg 2.97
15 Hg 0.5000 0.3330 0.3330  10 Ag 2.96-2.97, 2 Au 2.97
16 Au 0.5000 0.8337 0.8337  10 Ag 2.95-2.97, 2 Hg 2.97